Entry 1:
Entry from OQMD via LeMat-Bulk: crystalline GdSi3Ni5 at its relaxed geometry (GGA-PBE).

Results
The calculation puts the volume at 13.10 A^3/atom. The uncorrected energy is -6.135 eV per atom. Its total moment is 0.00 μB per formula unit. The mass density is 7.5 g/cm³. As for the space group: Pnma (62).

a = 18.7550 Å, b = 3.8032 Å, c = 6.6118 Å
α = 90.00°, β = 90.00°, γ = 90.00°
Closest atoms and distances in Å follow each position.
Fractional coordinates of all 36 atoms:
Gd (0.1444, 0.2500, 0.1231)  6 Si 2.93-2.96, 11 Ni 2.98-3.27
Gd (0.3556, 0.7500, 0.6231)  6 Si 2.93-2.96, 11 Ni 2.98-3.27
Gd (0.6444, 0.2500, 0.3769)  6 Si 2.93-2.96, 11 Ni 2.98-3.27
Gd (0.8556, 0.7500, 0.8769)  6 Si 2.93-2.96, 11 Ni 2.98-3.27
Si (0.0742, 0.7500, 0.8441)  7 Ni 2.25-2.45
Si (0.0855, 0.7500, 0.4181)  7 Ni 2.27-2.47
Si (0.2365, 0.2500, 0.6211)  7 Ni 2.29-2.39
Si (0.2635, 0.7500, 0.1211)  7 Ni 2.29-2.39
Si (0.4145, 0.2500, 0.9181)  7 Ni 2.27-2.47
Si (0.4258, 0.2500, 0.3441)  7 Ni 2.25-2.45
Si (0.5742, 0.7500, 0.6559)  7 Ni 2.25-2.45
Si (0.5855, 0.7500, 0.0819)  7 Ni 2.27-2.47
Si (0.7365, 0.2500, 0.8789)  7 Ni 2.29-2.39
Si (0.7635, 0.7500, 0.3789)  7 Ni 2.29-2.39
Si (0.9145, 0.2500, 0.5819)  7 Ni 2.27-2.47
Si (0.9258, 0.2500, 0.1559)  7 Ni 2.25-2.45
Ni (0.0049, 0.7500, 0.1337)  4 Si 2.31-2.42, 2 Ni 2.53
Ni (0.0150, 0.2500, 0.3841)  4 Si 2.25-2.33, 2 Ni 2.51
Ni (0.1146, 0.2500, 0.6419)  5 Si 2.29-2.47, 1 Ni 2.53
Ni (0.1994, 0.7500, 0.8139)  4 Si 2.36-2.39, 1 Ni 2.55
Ni (0.2063, 0.7500, 0.4294)  4 Si 2.27-2.35
Ni (0.2937, 0.2500, 0.9294)  4 Si 2.27-2.35
Ni (0.3006, 0.2500, 0.3139)  4 Si 2.36-2.39, 1 Ni 2.55
Ni (0.3854, 0.7500, 0.1419)  5 Si 2.29-2.47, 1 Ni 2.53
Ni (0.4850, 0.7500, 0.8841)  4 Si 2.25-2.33, 2 Ni 2.51
Ni (0.4951, 0.2500, 0.6337)  4 Si 2.31-2.42, 2 Ni 2.53
Ni (0.5049, 0.7500, 0.3663)  4 Si 2.31-2.42, 2 Ni 2.53
Ni (0.5150, 0.2500, 0.1159)  4 Si 2.25-2.33, 2 Ni 2.51
Ni (0.6146, 0.2500, 0.8581)  5 Si 2.29-2.47, 1 Ni 2.53
Ni (0.6994, 0.7500, 0.6861)  4 Si 2.36-2.39, 1 Ni 2.55
Ni (0.7063, 0.7500, 0.0706)  4 Si 2.27-2.35
Ni (0.7937, 0.2500, 0.5706)  4 Si 2.27-2.35
Ni (0.8006, 0.2500, 0.1861)  4 Si 2.36-2.39, 1 Ni 2.55
Ni (0.8854, 0.7500, 0.3581)  5 Si 2.29-2.47, 1 Ni 2.53
Ni (0.9850, 0.7500, 0.6159)  4 Si 2.25-2.33, 2 Ni 2.51
Ni (0.9951, 0.2500, 0.8663)  4 Si 2.31-2.42, 2 Ni 2.53

Entry 2:
Entry from OQMD via LeMat-Bulk: crystalline Gd4Si3Ni at its relaxed geometry (GGA-PBE).

Results
The calculation puts the volume at 22.12 A^3/atom. The uncorrected energy is -5.766 eV per atom. Its total moment is 0.00 μB per formula unit. The mass density is 7.2 g/cm³. As for the space group: Pm (6).

a = 5.7824 Å, b = 3.9076 Å, c = 7.8344 Å
α = 90.00°, β = 91.08°, γ = 90.00°
Closest atoms and distances in Å follow each position.
Fractional coordinates of all 8 atoms:
Gd (0.0000, 0.0000, 0.0000)  6 Si 2.96-3.15, 1 Ni 3.07
Gd (0.2409, 0.5000, 0.3766)  2 Ni 2.89, 5 Si 3.04-3.18
Gd (0.4897, 0.5000, 0.8423)  2 Ni 2.89, 4 Si 3.01-3.10
Gd (0.7362, 0.0000, 0.5052)  5 Si 2.95-3.17, 2 Ni 3.04-3.17
Si (0.4922, 0.0000, 0.1396)  2 Si 2.49
Si (0.7401, 0.5000, 0.2146)  2 Si 2.49
Si (0.9952, 0.5000, 0.7166)  2 Ni 2.44
Ni (0.2277, 0.0000, 0.6488)  2 Si 2.44

Q: Which formula does entry 1 have?
A: GdSi3Ni5